Material: NaPSe2O8
Method: DFT, PBE
State: optimized geometry

Crystal system   trigonal
Calculated density   3.09 g cm⁻³

a b c (Å): 4.9829 4.9829 25.4814
angles (deg): 90.00 90.00 120.00
Space group R32 (No. 155, hexagonal axes)
Asymmetric unit:
Na1 0.0000 0.0000 0.0000
P1 0.0000 0.0000 0.5000
Se1 0.0000 0.0000 0.2418
O1 0.0000 0.0000 0.3067
O2 0.0058 0.3736 0.1138

Material: NaP2SeO
Method: DFT, PBE
State: optimized geometry

Crystal system   tetragonal
Calculated density   3.13 g cm⁻³
E above lowest polymorph   786.7 meV per atom

a b c (Å): 4.964 4.964 3.868
angles (deg): 90.00 90.00 90.00
Space group P4/mmm (No. 123)
Asymmetric unit:
Na1 0.000 0.000 0.000
P1 0.000 0.500 0.000
Se1 0.500 0.500 0.500
O1 0.000 0.000 0.500

Material: NaP2SeO
Method: DFT, PBE
State: optimized geometry

Crystal system   tetragonal
Calculated density   3.09 g cm⁻³
E above lowest polymorph   0.0 meV per atom

a b c (Å): 5.074 5.074 3.753
angles (deg): 90.00 90.00 90.00
Space group P4/mmm (No. 123)
Asymmetric unit:
Na1 0.000 0.000 0.000
P1 0.000 0.500 0.500
Se1 0.500 0.500 0.500
O1 0.500 0.500 0.000

Material: NaSiP2O
Method: DFT, PBE
State: optimized geometry

Crystal system   tetragonal
Calculated density   2.29 g cm⁻³
E above lowest polymorph   1535.4 meV per atom

a b c (Å): 4.880 4.880 3.937
angles (deg): 90.00 90.00 90.00
Space group P4/mmm (No. 123)
Asymmetric unit:
Na1 0.000 0.000 0.000
Si1 0.500 0.500 0.500
P1 0.000 0.500 0.000
O1 0.000 0.000 0.500

Material: NaSiP2O
Method: DFT, PBE
State: optimized geometry

Crystal system   tetragonal
Calculated density   2.62 g cm⁻³
E above lowest polymorph   0.0 meV per atom

a b c (Å): 5.008 5.008 3.258
angles (deg): 90.00 90.00 90.00
Space group P4/mmm (No. 123)
Asymmetric unit:
Na1 0.000 0.000 0.000
Si1 0.500 0.500 0.500
P1 0.000 0.500 0.500
O1 0.500 0.500 0.000

Material: Na5Ti2Si2PO13
Method: DFT, PBE
State: optimized geometry

Crystal system   triclinic
Calculated density   2.99 g cm⁻³

a b c (Å): 5.461 7.157 14.699
angles (deg): 99.99 96.59 90.60
Space group P-1 (No. 2)
Asymmetric unit:
Na1 0.174 0.421 0.231
Na2 0.244 0.744 0.419
Na3 0.246 0.123 0.999
Na4 0.321 0.033 0.638
Na5 0.326 0.540 0.605
Ti1 0.172 0.931 0.221
Ti2 0.221 0.618 0.011
Si1 0.327 0.795 0.824
Si2 0.353 0.358 0.803
P1 0.178 0.227 0.430
O1 0.059 0.875 0.792
O2 0.082 0.422 0.067
O3 0.097 0.241 0.757
O4 0.101 0.775 0.561
O5 0.138 0.827 0.092
O6 0.235 0.035 0.364
O7 0.252 0.402 0.388
O8 0.321 0.570 0.770
O9 0.330 0.231 0.526
O10 0.358 0.800 0.936
O11 0.413 0.393 0.918
O12 0.413 0.730 0.249
O13 0.446 0.098 0.209

Material: Na5Zr4Si3P3O24
Method: DFT, PBE
State: optimized geometry

Crystal system   trigonal
Calculated density   3.14 g cm⁻³

a b c (Å): 9.1283 9.1283 22.8868
angles (deg): 90.00 90.00 120.00
Space group R32 (No. 155, hexagonal axes)
Asymmetric unit:
Na1 0.0000 0.0000 0.2473
Na2 0.0000 0.6410 0.0000
Zr1 0.0000 0.0000 0.1035
Zr2 0.0000 0.0000 0.3991
Si1 0.0000 0.2903 0.0000
P1 0.0000 0.7002 0.5000
O1 0.0058 0.8028 0.4448
O2 0.0191 0.1867 0.6588
O3 0.0198 0.8284 0.1666
O4 0.0413 0.2066 0.9438

Material: Na3Zr2Si2PO12
Method: DFT, PBE
State: optimized geometry

Crystal system   monoclinic
Calculated density   3.17 g cm⁻³

a b c (Å): 15.854 9.195 9.267
angles (deg): 90.00 124.52 90.00
Space group C2 (No. 5)
Asymmetric unit:
Na1 0.000 0.000 0.000
Na2 0.000 0.214 0.500
Na3 0.166 0.697 0.430
Na4 0.235 0.378 0.764
Zr1 0.101 0.368 0.306
Zr2 0.101 0.860 0.807
Si1 0.000 0.568 0.500
Si2 0.000 0.666 0.000
Si3 0.142 0.009 0.493
P1 0.143 0.220 0.987
O1 0.049 0.270 0.806
O2 0.049 0.935 0.309
O3 0.058 0.561 0.174
O4 0.064 0.674 0.672
O5 0.083 0.465 0.495
O6 0.086 0.773 0.007
O7 0.123 0.983 0.646
O8 0.124 0.259 0.130
O9 0.153 0.052 0.992
O10 0.154 0.185 0.479
O11 0.238 0.296 0.019
O12 0.247 0.930 0.536

Number 1: formation energy (no corrections) -0.69 eV per atom. Number 2: formation energy (no corrections) 1.18 eV per atom. Number 3: formation energy (no corrections) 0.39 eV per atom. Number 4: formation energy (no corrections) 1.27 eV per atom. Number 5: formation energy (no corrections) -0.27 eV per atom. Number 6: formation energy (no corrections) -2.55 eV per atom. Number 7: formation energy (no corrections) -2.71 eV per atom. Number 8: formation energy (no corrections) -2.72 eV per atom.